No. 1
Compound: Sm19Dy6Y4
Source: Alexandria
Functional: PBE
Structure: relaxed

The structure in POSCAR format:
```
Sm19Dy6Y4
1.0
-3.392 -6.818 7.821
10.455 -2.076 -2.354
-0.970 10.301 3.480
Sm Dy Y
19 6 4
direct
0.740 0.000 0.740
0.260 0.000 0.260
0.260 0.260 0.000
0.740 0.740 0.000
0.000 0.740 0.740
0.000 0.260 0.260
0.000 0.000 0.000
0.199 0.218 0.542
0.801 0.343 0.020
0.677 0.657 0.458
0.020 0.801 0.343
0.323 0.782 0.980
0.542 0.199 0.218
0.980 0.323 0.782
0.458 0.677 0.657
0.782 0.980 0.323
0.343 0.020 0.801
0.218 0.542 0.199
0.657 0.458 0.677
0.375 0.500 0.875
0.625 0.500 0.125
0.125 0.625 0.500
0.875 0.375 0.500
0.500 0.875 0.375
0.500 0.125 0.625
0.000 0.000 0.640
0.000 0.640 0.000
0.360 0.360 0.360
0.640 0.000 0.000
```

Calculated values
ρ = 6.9 g/cm3


No. 2
Compound: La2SiP
Source: Alexandria
Functional: PBE
Structure: relaxed

The structure in POSCAR format:
```
La2SiP
1.0
-1.996 -2.454 4.948
1.814 -3.988 3.911
1.935 3.530 1.887
La P Si
2 1 1
direct
0.994 0.994 0.896
0.258 0.258 0.351
0.537 0.537 0.434
0.711 0.711 0.819
```

Calculated values
energy relative to the elements, uncorrected = -971 meV/atom
relative energy among the computed polymorphs = 188 meV per atom
ρ = 5.5 g/cm3


No. 3
Compound: ZrMnAs2
Source: Alexandria
Functional: PBE
Structure: relaxed

The structure in POSCAR format:
```
ZrMnAs2
1.0
-2.581 4.253 -6.783
-4.958 4.882 -4.726
-2.271 6.629 -4.653
As Mn Zr
2 1 1
direct
0.001 0.001 0.001
0.237 0.237 0.237
0.508 0.508 0.508
0.755 0.755 0.755
```

Calculated values
ρ = 6.7 g/cm3


Record-wise electronic total energy values, in eV/f.u.: -132.2; -24.6; -27.1